*one*
Compound: LiSI2N
Source: the Alexandria database
Functional: PBE
Structure: optimized geometry

## Properties
space-group type: P4/mmm (123)

a = 5.295 Å, b = 5.295 Å, c = 3.704 Å
α = 90.00°, β = 90.00°, γ = 90.00°
Fractional coordinates of all 5 atoms:
Li 0.000 0.000 0.000
I 0.000 0.500 0.000
I 0.500 0.000 0.000
N 0.000 0.000 0.500
S 0.500 0.500 0.500

---

*two*
Compound: LiSI2N
Source: the Alexandria database
Functional: PBE
Structure: optimized geometry

## Properties
space-group type: P4/mmm (123)

a = 6.194 Å, b = 6.194 Å, c = 3.412 Å
α = 90.00°, β = 90.00°, γ = 90.00°
Fractional coordinates of all 5 atoms:
S 0.000 0.000 0.000
I 0.000 0.500 0.000
I 0.500 0.000 0.000
N 0.000 0.000 0.500
Li 0.500 0.500 0.500

---

The energy of each structure relative to the most stable one, in meV/atom, is as follows: *one* 760; *two* 0.

---

*one*
Compound: LiSIN2
Source: the Alexandria database
Functional: PBE
Structure: optimized geometry

## Properties
space-group type: P4/mmm (123)

a = 3.575 Å, b = 3.575 Å, c = 8.239 Å
α = 90.00°, β = 90.00°, γ = 90.00°
Fractional coordinates of all 5 atoms:
Li 0.500 0.500 0.500
N 0.500 0.000 0.000
N 0.000 0.500 0.000
I 0.000 0.000 0.500
S 0.000 0.000 0.000

---

*two*
Compound: LiSIN2
Source: the Alexandria database
Functional: PBE
Structure: optimized geometry

## Properties
space-group type: P4/mmm (123)

a = 4.120 Å, b = 4.120 Å, c = 5.473 Å
α = 90.00°, β = 90.00°, γ = 90.00°
Fractional coordinates of all 5 atoms:
N 0.000 0.500 0.000
N 0.500 0.000 0.000
I 0.500 0.500 0.500
S 0.000 0.000 0.500
Li 0.000 0.000 0.000

---

The energy of each structure relative to the most stable one, in meV/atom, is as follows: *one* 0; *two* 727.